# SnPdN2O

An optimized crystal structure of SnPdN2O (GGA-PBE, Alexandria via LeMat-Bulk).

abc: 4.1870 4.1870 4.0159
angles: 90.00 90.00 90.00
Element x y z (fractional)
Sn: 0.0000 0.0000 0.0000
Pd: 0.5000 0.5000 0.5000
N: 0.0000 0.5000 0.0000
N: 0.5000 0.0000 0.0000
O: 0.0000 0.0000 0.5000

Results
VASP energy: -25.03 eV per formula unit
M_tot: 0.5080 μB per atom
SG: P4/mmm



# CsBCl4

An optimized crystal structure of CsBCl4 (GGA-PBE, Alexandria via LeMat-Bulk).

abc: 9.7149 6.1074 6.9930
angles: 90.00 90.00 90.00
Element x y z (fractional)
Cs: 0.0000 0.1869 0.0000
Cs: 0.5000 0.8131 0.5000
B: 0.0000 0.8021 0.5346
B: 0.5000 0.1979 0.0346
Cl: 0.0000 0.1069 0.5106
Cl: 0.0000 0.6810 0.2902
Cl: 0.1552 0.7139 0.6721
Cl: 0.3448 0.2861 0.1721
Cl: 0.5000 0.3190 0.7902
Cl: 0.5000 0.8931 0.0106
Cl: 0.6552 0.2861 0.1721
Cl: 0.8448 0.7139 0.6721

Results
VASP energy: -23.10 eV per formula unit
M_tot: 0.0000 μB per atom
SG: Pmn2_1



# Ga6Ni3Pd

An optimized crystal structure of Ga6Ni3Pd (GGA-PBE, Alexandria via LeMat-Bulk).

abc: 6.7283 5.5678 9.3590
angles: 90.00 118.22 90.00
Element x y z (fractional)
Ga: 0.0833 0.0436 0.3045
Ga: 0.0833 0.4564 0.8045
Ga: 0.2843 0.1565 0.6271
Ga: 0.2843 0.3435 0.1271
Ga: 0.3933 0.6213 0.5661
Ga: 0.3933 0.8787 0.0661
Ga: 0.6067 0.1213 0.9339
Ga: 0.6067 0.3787 0.4339
Ga: 0.7157 0.6565 0.8729
Ga: 0.7157 0.8435 0.3729
Ga: 0.9167 0.5436 0.1955
Ga: 0.9167 0.9564 0.6955
Ni: 0.2944 0.7017 0.2763
Ni: 0.2944 0.7983 0.7763
Ni: 0.5000 0.0000 0.5000
Ni: 0.5000 0.5000 0.0000
Ni: 0.7056 0.2017 0.2237
Ni: 0.7056 0.2983 0.7237
Pd: 0.0000 0.0000 0.0000
Pd: 0.0000 0.5000 0.5000

Results
VASP energy: -43.29 eV per formula unit
E_form: -259 meV per atom
M_tot: 0.0000 μB per atom
SG: P2_1/c



# CaPrYRu

An optimized crystal structure of CaPrYRu (GGA-PBE, Alexandria via LeMat-Bulk).

abc: 7.4299 7.4299 7.4299
angles: 90.00 90.00 90.00
Element x y z (fractional)
Ca: 0.0000 0.0000 0.0000
Ca: 0.0000 0.5000 0.5000
Ca: 0.5000 0.0000 0.5000
Ca: 0.5000 0.5000 0.0000
Pr: 0.2500 0.2500 0.7500
Pr: 0.2500 0.7500 0.2500
Pr: 0.7500 0.2500 0.2500
Pr: 0.7500 0.7500 0.7500
Y: 0.2500 0.2500 0.2500
Y: 0.2500 0.7500 0.7500
Y: 0.7500 0.2500 0.7500
Y: 0.7500 0.7500 0.2500
Ru: 0.0000 0.0000 0.5000
Ru: 0.0000 0.5000 0.0000
Ru: 0.5000 0.0000 0.0000
Ru: 0.5000 0.5000 0.5000

Results
VASP energy: -22.08 eV per formula unit
E_form: 110 meV per atom
M_tot: 0.0000 μB per atom
SG: F-43m



# Sr2Hf2F

An optimized crystal structure of Sr2Hf2F (GGA-PBE, Alexandria via LeMat-Bulk).

abc: 4.5918 4.5918 15.8643
angles: 90.00 90.00 90.00
Element x y z (fractional)
Sr: 0.0000 0.5000 0.2500
Sr: 0.0000 0.5000 0.7500
Sr: 0.5000 0.0000 0.2500
Sr: 0.5000 0.0000 0.7500
Hf: 0.0000 0.0000 0.0772
Hf: 0.0000 0.0000 0.9228
Hf: 0.5000 0.5000 0.4228
Hf: 0.5000 0.5000 0.5772
F: 0.0000 0.0000 0.5000
F: 0.5000 0.5000 0.0000

Results
VASP energy: -19.71 eV per formula unit
M_tot: 0.1448 μB per atom
SG: I4/mmm



# Zr3Au2

An optimized crystal structure of Zr3Au2 (GGA-PBE, Alexandria via LeMat-Bulk).

abc: 3.1575 3.1575 20.6831
angles: 90.00 90.00 90.00
Element x y z (fractional)
Zr: 0.0000 0.0000 0.0000
Zr: 0.0000 0.0000 0.1952
Zr: 0.0000 0.0000 0.3910
Zr: 0.0000 0.0000 0.6090
Zr: 0.0000 0.0000 0.8048
Zr: 0.5000 0.5000 0.5000
Au: 0.5000 0.5000 0.0978
Au: 0.5000 0.5000 0.2934
Au: 0.5000 0.5000 0.7066
Au: 0.5000 0.5000 0.9022

Results
VASP energy: -34.18 eV per formula unit
E_form: -397 meV per atom
M_tot: 0.0000 μB per atom
SG: P4/mmm



# Rb2BiHBr6

An optimized crystal structure of Rb2BiHBr6 (GGA-PBE, Alexandria via LeMat-Bulk).

abc: 7.7627 7.7627 7.7627
angles: 111.06 111.06 106.33
Element x y z (fractional)
Rb: 0.2500 0.7500 0.5000
Rb: 0.7500 0.2500 0.5000
Bi: 0.0000 0.0000 0.0000
H: 0.5000 0.5000 0.0000
Br: 0.2283 0.2283 0.4567
Br: 0.2283 0.7717 0.0000
Br: 0.3174 0.3174 0.0000
Br: 0.6826 0.6826 0.0000
Br: 0.7717 0.2283 0.0000
Br: 0.7717 0.7717 0.5433

Results
VASP energy: -29.12 eV per formula unit
M_tot: 0.0000 μB per atom
SG: I4/mmm



# SmYGa

An optimized crystal structure of SmYGa (GGA-PBE, Alexandria via LeMat-Bulk).

abc: 3.5094 3.5094 13.2992
angles: 90.00 90.00 90.00
Element x y z (fractional)
Sm: 0.0000 0.0000 0.0000
Sm: 0.5000 0.5000 0.5000
Y: 0.0000 0.0000 0.7117
Y: 0.5000 0.5000 0.2117
Ga: 0.0000 0.0000 0.3520
Ga: 0.5000 0.5000 0.8520

Results
VASP energy: -15.32 eV per formula unit
E_form: -369 meV per atom
M_tot: 0.0000 μB per atom
SG: I4mm



# Ca2SnGeN4

An optimized crystal structure of Ca2SnGeN4 (GGA-PBE, Alexandria via LeMat-Bulk).

abc: 6.8157 6.6411 5.5139
angles: 90.00 90.00 90.00
Element x y z (fractional)
Ca: 0.2486 0.1707 0.0000
Ca: 0.2514 0.8293 0.5000
Ca: 0.7486 0.8293 0.5000
Ca: 0.7514 0.1707 0.0000
Sn: 0.0000 0.3560 0.5178
Sn: 0.5000 0.6440 0.0178
Ge: 0.0000 0.6546 0.0226
Ge: 0.5000 0.3454 0.5226
N: 0.0000 0.3935 0.8947
N: 0.0000 0.6354 0.3606
N: 0.2337 0.8101 0.9424
N: 0.2663 0.1899 0.4424
N: 0.5000 0.3646 0.8606
N: 0.5000 0.6065 0.3947
N: 0.7337 0.1899 0.4424
N: 0.7663 0.8101 0.9424

Results
VASP energy: -49.69 eV per formula unit
M_tot: 0.0000 μB per atom
SG: Pmn2_1



# SbHF3

An optimized crystal structure of SbHF3 (GGA-PBE, Alexandria via LeMat-Bulk).

abc: 3.7285 3.7285 3.7285
angles: 90.00 90.00 90.00
Element x y z (fractional)
Sb: 0.0000 0.0000 0.0000
H: 0.5000 0.5000 0.5000
F: 0.0000 0.5000 0.5000
F: 0.5000 0.0000 0.5000
F: 0.5000 0.5000 0.0000

Results
VASP energy: -17.87 eV per formula unit
M_tot: 0.0329 μB per atom
SG: Pm-3m



# KScW2

An optimized crystal structure of KScW2 (GGA-PBE, Alexandria via LeMat-Bulk).

abc: 2.7575 2.7575 10.9050
angles: 90.00 90.00 90.00
Element x y z (fractional)
K: 0.0000 0.0000 0.0000
Sc: 0.0000 0.0000 0.5000
W: 0.5000 0.5000 0.2864
W: 0.5000 0.5000 0.7136

Results
VASP energy: -29.68 eV per formula unit
E_form: 913 meV per atom
M_tot: 0.0000 μB per atom
SG: P4/mmm



# Li12Mg6Pb

An optimized crystal structure of Li12Mg6Pb (GGA-PBE, Alexandria via LeMat-Bulk).

abc: 7.4035 7.4035 7.4035
angles: 92.67 92.67 92.67
Element x y z (fractional)
Li: 0.0334 0.2929 0.9468
Li: 0.0532 0.9666 0.7071
Li: 0.1309 0.3507 0.4534
Li: 0.2929 0.9468 0.0334
Li: 0.3507 0.4534 0.1309
Li: 0.4534 0.1309 0.3507
Li: 0.5466 0.8691 0.6493
Li: 0.6493 0.5466 0.8691
Li: 0.7071 0.0532 0.9666
Li: 0.8691 0.6493 0.5466
Li: 0.9468 0.0334 0.2929
Li: 0.9666 0.7071 0.0532
Mg: 0.2184 0.7757 0.3867
Mg: 0.2243 0.6133 0.7816
Mg: 0.3867 0.2184 0.7757
Mg: 0.6133 0.7816 0.2243
Mg: 0.7757 0.3867 0.2184
Mg: 0.7816 0.2243 0.6133
Pb: 0.5000 0.5000 0.5000

Results
VASP energy: -37.10 eV per formula unit
E_form: -45 meV per atom
M_tot: 0.0000 μB per atom
SG: R-3



# LiErH

An optimized crystal structure of LiErH (GGA-PBE, Alexandria via LeMat-Bulk).

abc: 3.3398 3.3398 5.5627
angles: 90.00 90.00 120.00
Element x y z (fractional)
Li: 0.0000 0.0000 0.0000
Er: 0.6667 0.3333 0.5070
H: 0.3333 0.6667 0.7215

Results
VASP energy: -10.06 eV per formula unit
M_tot: 0.1784 μB per atom
SG: P3m1



# Cd3MoAu

An optimized crystal structure of Cd3MoAu (GGA-PBE, Alexandria via LeMat-Bulk).

abc: 5.4225 5.4225 5.4225
angles: 90.00 90.00 90.00
Element x y z (fractional)
Cd: 0.0000 0.0000 0.5000
Cd: 0.0000 0.5000 0.0000
Cd: 0.5000 0.0000 0.0000
Mo: 0.0000 0.0000 0.0000
Au: 0.5000 0.5000 0.5000

Results
VASP energy: -11.07 eV per formula unit
E_form: 1157 meV per atom
M_tot: 0.7278 μB per atom
SG: Pm-3m



# MgPd3Au4

An optimized crystal structure of MgPd3Au4 (GGA-PBE, Alexandria via LeMat-Bulk).

abc: 5.7087 8.1299 5.7910
angles: 90.00 90.14 90.00
Element x y z (fractional)
Mg: 0.0000 0.0000 0.0000
Mg: 0.5000 0.5000 0.0000
Pd: 0.0000 0.4996 0.0000
Pd: 0.2500 0.2499 0.2485
Pd: 0.2500 0.7499 0.7515
Pd: 0.5000 0.9996 0.0000
Pd: 0.7500 0.2499 0.7515
Pd: 0.7500 0.7499 0.2485
Au: 0.0000 0.9997 0.5000
Au: 0.0000 0.4997 0.5000
Au: 0.2502 0.2499 0.7596
Au: 0.2498 0.7499 0.2404
Au: 0.5000 0.9997 0.5000
Au: 0.5000 0.4997 0.5000
Au: 0.7498 0.2499 0.2404
Au: 0.7502 0.7499 0.7596

Results
VASP energy: -32.70 eV per formula unit
E_form: -302 meV per atom
M_tot: 0.0000 μB per atom
SG: C2



# NaAcTlO4

An optimized crystal structure of NaAcTlO4 (GGA-PBE, Alexandria via LeMat-Bulk).

abc: 6.9364 6.9364 6.9364
angles: 120.34 112.14 96.78
Element x y z (fractional)
Na: 0.5000 0.0000 0.0000
Na: 0.5000 0.5000 0.5000
Ac: 0.0000 0.0000 0.0000
Ac: 0.5000 0.0000 0.5000
Tl: 0.1252 0.3752 0.7500
Tl: 0.8748 0.6248 0.2500
O: 0.2449 0.2237 0.4788
O: 0.2449 0.7661 0.0212
O: 0.2463 0.7421 0.5042
O: 0.2620 0.2579 0.0042
O: 0.7380 0.7421 0.9958
O: 0.7537 0.2579 0.4958
O: 0.7551 0.2339 0.9788
O: 0.7551 0.7763 0.5212

Results
VASP energy: -38.71 eV per formula unit
M_tot: 0.1473 μB per atom
SG: Imma



# Tc3H2

An optimized crystal structure of Tc3H2 (GGA-PBE, Alexandria via LeMat-Bulk).

abc: 4.9810 4.9838 5.3445
angles: 62.23 89.66 60.09
Element x y z (fractional)
Tc: 0.0000 0.0000 0.0000
Tc: 0.1545 0.9995 0.5127
Tc: 0.3188 0.3683 0.9937
Tc: 0.4831 0.3542 0.4753
Tc: 0.6394 0.6865 0.9878
Tc: 0.8186 0.6899 0.4937
H: 0.0168 0.2785 0.1185
H: 0.2028 0.2125 0.7097
H: 0.4343 0.8121 0.2770
H: 0.6210 0.1015 0.8697

Results
VASP energy: -37.57 eV per formula unit
M_tot: 0.0000 μB per atom
SG: P1



# La3HoPt2

An optimized crystal structure of La3HoPt2 (GGA-PBE, Alexandria via LeMat-Bulk).

abc: 4.7775 4.8284 8.1620
angles: 74.04 73.08 89.97
Element x y z (fractional)
La: 0.0000 0.0000 0.0000
La: 0.1885 0.6949 0.6233
La: 0.8115 0.3051 0.3767
Ho: 0.5000 0.5000 0.0000
Pt: 0.3760 0.9073 0.2510
Pt: 0.6240 0.0927 0.7490

Results
VASP energy: -36.09 eV per formula unit
E_form: -774 meV per atom
M_tot: 0.0000 μB per atom
SG: P-1



# AcErTmMg

An optimized crystal structure of AcErTmMg (GGA-PBE, Alexandria via LeMat-Bulk).

abc: 8.0168 8.0168 8.0168
angles: 90.00 90.00 90.00
Element x y z (fractional)
Ac: 0.0000 0.0000 0.0000
Ac: 0.0000 0.5000 0.5000
Ac: 0.5000 0.0000 0.5000
Ac: 0.5000 0.5000 0.0000
Er: 0.0000 0.0000 0.5000
Er: 0.0000 0.5000 0.0000
Er: 0.5000 0.0000 0.0000
Er: 0.5000 0.5000 0.5000
Tm: 0.2500 0.2500 0.7500
Tm: 0.2500 0.7500 0.2500
Tm: 0.7500 0.2500 0.2500
Tm: 0.7500 0.7500 0.7500
Mg: 0.2500 0.2500 0.2500
Mg: 0.2500 0.7500 0.7500
Mg: 0.7500 0.2500 0.7500
Mg: 0.7500 0.7500 0.2500

Results
VASP energy: -14.49 eV per formula unit
E_form: 62 meV per atom
M_tot: 0.0016 μB per atom
SG: F-43m



# In7Hg4Sb

An optimized crystal structure of In7Hg4Sb (GGA-PBE, Alexandria via LeMat-Bulk).

abc: 4.0563 4.0563 23.8330
angles: 90.00 90.00 120.00
Element x y z (fractional)
In: 0.0000 0.0000 0.0000
In: 0.0000 0.0000 0.2562
In: 0.0000 0.0000 0.7438
In: 0.3333 0.6667 0.1664
In: 0.3333 0.6667 0.4204
In: 0.6667 0.3333 0.5796
In: 0.6667 0.3333 0.8336
Hg: 0.3333 0.6667 0.6627
Hg: 0.3333 0.6667 0.9161
Hg: 0.6667 0.3333 0.0839
Hg: 0.6667 0.3333 0.3373
Sb: 0.0000 0.0000 0.5000

Results
VASP energy: -24.18 eV per formula unit
M_tot: 0.0000 μB per atom
SG: P-3m1



# DyMn6Sn4Ge2

An optimized crystal structure of DyMn6Sn4Ge2 (GGA-PBE, Alexandria via LeMat-Bulk).

abc: 5.3432 5.3432 8.6954
angles: 90.00 90.00 120.00
Element x y z (fractional)
Dy: 0.0000 0.0000 0.0000
Mn: 0.0000 0.5000 0.2328
Mn: 0.0000 0.5000 0.7672
Mn: 0.5000 0.0000 0.2328
Mn: 0.5000 0.0000 0.7672
Mn: 0.5000 0.5000 0.2328
Mn: 0.5000 0.5000 0.7672
Sn: 0.0000 0.0000 0.3342
Sn: 0.0000 0.0000 0.6658
Sn: 0.3333 0.6667 0.5000
Sn: 0.6667 0.3333 0.5000
Ge: 0.3333 0.6667 0.0000
Ge: 0.6667 0.3333 0.0000

Results
VASP energy: -87.72 eV per formula unit
E_form: -220 meV per atom
M_tot: 0.9684 μB per atom
SG: P6/mmm



# CaSb2TeO

An optimized crystal structure of CaSb2TeO (GGA-PBE, Alexandria via LeMat-Bulk).

abc: 5.7718 5.7718 5.5884
angles: 90.00 90.00 90.00
Element x y z (fractional)
Ca: 0.0000 0.0000 0.0000
Sb: 0.0000 0.5000 0.0000
Sb: 0.5000 0.0000 0.0000
Te: 0.0000 0.0000 0.5000
O: 0.5000 0.5000 0.5000

Results
VASP energy: -13.31 eV per formula unit
M_tot: 0.0000 μB per atom
SG: P4/mmm



# Ac2NdMg6

An optimized crystal structure of Ac2NdMg6 (GGA-PBE, Alexandria via LeMat-Bulk).

abc: 9.3388 9.3388 3.5981
angles: 90.00 90.00 120.00
Element x y z (fractional)
Ac: 0.3333 0.6667 0.0000
Ac: 0.6667 0.3333 0.0000
Nd: 0.0000 0.0000 0.0000
Mg: 0.0000 0.3273 0.5000
Mg: 0.0000 0.6727 0.5000
Mg: 0.3273 0.0000 0.5000
Mg: 0.3273 0.3273 0.5000
Mg: 0.6727 0.0000 0.5000
Mg: 0.6727 0.6727 0.5000

Results
VASP energy: -23.17 eV per formula unit
E_form: -68 meV per atom
M_tot: 0.0000 μB per atom
SG: P6/mmm



# NdTc4

An optimized crystal structure of NdTc4 (GGA-PBE, Alexandria via LeMat-Bulk).

abc: 4.8018 4.8018 4.8018
angles: 90.00 90.00 90.00
Element x y z (fractional)
Nd: 0.0000 0.0000 0.0000
Tc: 0.0000 0.0000 0.5000
Tc: 0.0000 0.5000 0.0000
Tc: 0.5000 0.0000 0.0000
Tc: 0.5000 0.5000 0.5000

Results
VASP energy: -32.49 eV per formula unit
E_form: 2749 meV per atom
M_tot: 0.3449 μB per atom
SG: Pm-3m